# 1
DFT (GGA-PBE) results for crystalline LaHg2Rh2 at its relaxed geometry.

Results
excess energy over the best structure of this formula in the dataset = 0 meV per atom
calculated formation energy = -0.301 eV per atom

Cell lengths 7.383, 7.383, 3.815 Å; angles 90.00, 90.00, 90.00 degrees
Space group P4/mbm (No. 127)
Asymmetric unit:
La 0.000 0.000 0.000
Hg 0.152 0.348 0.500
Rh 0.142 0.642 0.000

***

# 2
DFT (GGA-PBE) results for crystalline BPIrRhAu at its relaxed geometry.

Results
excess energy over the best structure of this formula in the dataset = 108 meV per atom
calculated formation energy = -0.103 eV per atom

Cell lengths 3.509, 4.280, 5.330 Å; angles 90.00, 109.32, 90.00 degrees
Space group Pm (No. 6)
Asymmetric unit:
B 0.000 0.000 0.000
P 0.276 0.500 0.554
Ir 0.385 0.000 0.770
Rh 0.928 0.500 0.856
Au 0.656 0.000 0.309

***

# 3
DFT (GGA-PBE) results for crystalline MgBeIn at its relaxed geometry.

Results
excess energy over the best structure of this formula in the dataset = 84 meV per atom
calculated formation energy = 0.247 eV per atom

Cell lengths 4.3393, 4.3393, 3.4316 Å; angles 90.00, 90.00, 120.00 degrees
Space group P3m1 (No. 156)
Asymmetric unit:
Mg 0.0000 0.0000 0.0000
Be 0.3333 0.6667 0.4982
In 0.6667 0.3333 0.4993

***

# 4
DFT (GGA-PBE) results for crystalline Na2UI6 at its relaxed geometry.

Results
excess energy over the best structure of this formula in the dataset = 0 meV per atom
raw formation energy = -1.0275 eV/atom

Cell lengths 7.9055, 7.9055, 22.8361 Å; angles 90.00, 90.00, 120.00 degrees
Space group R-3 (No. 148, hexagonal axes)
Asymmetric unit:
Na 0.0000 0.0000 0.1675
U 0.0000 0.0000 0.5000
I 0.0021 0.6904 0.5778

***

# 5
DFT (GGA-PBE) results for crystalline Ba2SrGa at its relaxed geometry.

Results
excess energy over the best structure of this formula in the dataset = 0 meV per atom
calculated formation energy = -0.184 eV per atom

Cell lengths 4.189, 4.189, 10.632 Å; angles 90.00, 90.00, 90.00 degrees
Space group P4/mmm (No. 123)
Asymmetric unit:
Ba 0.000 0.000 0.180
Sr 0.500 0.500 0.500
Ga 0.500 0.500 0.000

***

# 6
DFT (GGA-PBE) results for crystalline Mn2HgCl at its relaxed geometry.

Results
excess energy over the best structure of this formula in the dataset = 355 meV per atom
raw formation energy = 0.4200 eV/atom

Cell lengths 4.410, 4.410, 7.859 Å; angles 90.00, 90.00, 90.00 degrees
Space group I4/mmm (No. 139)
Asymmetric unit:
Mn 0.000 0.500 0.250
Hg 0.000 0.000 0.000
Cl 0.000 0.000 0.500

***

| no. | calculated density (g/cm³) | E (eV per atom) |
| --- | --- | --- |
| 1 | 11.91 | -4.347 |
| 2 | 11.74 | -6.418 |
| 3 | 4.40 | -2.439 |
| 4 | 4.21 | -3.608 |
| 5 | 3.85 | -2.323 |
| 6 | 7.52 | -4.702 |